# 1
VASP calculation (PBE-GGA) on crystalline SeS2Br at its relaxed geometry.

The value obtained for the offset from the most stable computed form is 0 meV/atom.

The space group is P1 (No. 1) and the conventional cell measures 3.4514, 5.2210 and 6.6788 Å, with angles of 98.77, 90.05 and 90.30 degrees. The inequivalent atoms are Se at (0.0000, 0.0000, 0.0000), S at (0.9998, 0.1173, 0.3517), S at (0.0000, 0.8246, 0.4952) and Br at (0.9390, 0.5067, 0.9809).

---

# 2
VASP calculation (PBE-GGA) on crystalline SeS3Br at its relaxed geometry.

The value obtained for the offset from the most stable computed form is 0 meV/atom.

The space group is P1 (No. 1) and the conventional cell measures 5.8507, 6.1121 and 8.8031 Å, with angles of 90.48, 90.04 and 90.12 degrees. The inequivalent atoms are Se at (0.0000, 0.0000, 0.0000), Se at (0.5000, 0.4975, 0.7326), S at (0.2607, 0.7587, 0.0814), S at (0.2676, 0.2535, 0.0785), S at (0.4821, 0.0088, 0.1532), S at (0.7611, 0.7401, 0.6523), S at (0.7673, 0.2452, 0.6540), S at (0.9822, 0.4910, 0.5800), Br at (0.1480, 0.0177, 0.5507) and Br at (0.6475, 0.4828, 0.1829).

---

# 3
VASP calculation (PBE-GGA) on crystalline Si2SeSBr at its relaxed geometry.

The space group is P4/mmm (No. 123) and the conventional cell measures 4.9741, 4.9741 and 4.8564 Å, with angles of 90.00, 90.00 and 90.00 degrees. The inequivalent atoms are Si at (0.0000, 0.5000, 0.0000), Se at (0.0000, 0.0000, 0.5000), S at (0.5000, 0.5000, 0.0000) and Br at (0.5000, 0.5000, 0.5000).

---

# 4
VASP calculation (PBE-GGA) on crystalline SnSe2SBr at its relaxed geometry.

The value obtained for the offset from the most stable computed form is 0 meV/atom.

The space group is P4/mmm (No. 123) and the conventional cell measures 4.9284, 4.9284 and 5.2089 Å, with angles of 90.00, 90.00 and 90.00 degrees. The inequivalent atoms are Sn at (0.0000, 0.0000, 0.0000), Se at (0.0000, 0.5000, 0.5000), S at (0.5000, 0.5000, 0.5000) and Br at (0.5000, 0.5000, 0.0000).

---

# 5
VASP calculation (PBE-GGA) on crystalline SnSe2SBr at its relaxed geometry.

The value obtained for the offset from the most stable computed form is 38 meV/atom.

The space group is P4/mmm (No. 123) and the conventional cell measures 4.8305, 4.8305 and 5.7930 Å, with angles of 90.00, 90.00 and 90.00 degrees. The inequivalent atoms are Sn at (0.0000, 0.0000, 0.0000), Se at (0.0000, 0.5000, 0.5000), S at (0.0000, 0.0000, 0.5000) and Br at (0.5000, 0.5000, 0.0000).

---

# 6
VASP calculation (PBE-GGA) on crystalline SnSe2SBr at its relaxed geometry.

The value obtained for the offset from the most stable computed form is 428 meV/atom.

The space group is P4/mmm (No. 123) and the conventional cell measures 5.3313, 5.3313 and 5.5334 Å, with angles of 90.00, 90.00 and 90.00 degrees. The inequivalent atoms are Sn at (0.0000, 0.0000, 0.0000), Se at (0.0000, 0.5000, 0.0000), S at (0.5000, 0.5000, 0.5000) and Br at (0.0000, 0.0000, 0.5000).

---

# 7
VASP calculation (PBE-GGA) on crystalline SnSeSBr2 at its relaxed geometry.

The value obtained for the offset from the most stable computed form is 0 meV/atom.

The space group is P4/mmm (No. 123) and the conventional cell measures 5.1541, 5.1541 and 5.0531 Å, with angles of 90.00, 90.00 and 90.00 degrees. The inequivalent atoms are Sn at (0.0000, 0.0000, 0.0000), Se at (0.5000, 0.5000, 0.0000), S at (0.5000, 0.5000, 0.5000) and Br at (0.0000, 0.5000, 0.5000).

---

# 8
VASP calculation (PBE-GGA) on crystalline SnSeSBr2 at its relaxed geometry.

The value obtained for the offset from the most stable computed form is 211 meV/atom.

The space group is P4/mmm (No. 123) and the conventional cell measures 5.5237, 5.5237 and 5.4623 Å, with angles of 90.00, 90.00 and 90.00 degrees. The inequivalent atoms are Sn at (0.0000, 0.0000, 0.0000), Se at (0.0000, 0.0000, 0.5000), S at (0.5000, 0.5000, 0.5000) and Br at (0.0000, 0.5000, 0.0000).

---

Ordered energy relative to the elements, uncorrected results: 0.136; 0.177; 0.809; 0.193; 0.231; 0.621; 0.176; 0.387; unit eV per atom.
Ordered spin magnetization results: 0.0000; 0.0000; 0.0000; 0.0000; 0.0000; 0.5880; 0.0000; 0.5894; unit μB/atom.
Ordered D(E_F) results: 1.24; 2.62; 3.01; 2.54; 3.62; 4.85; 3.28; 3.63; unit states/eV/f.u..